Entry from the Alexandria database: Zn2CrNi at its PBEsol-relaxed geometry (meta-GGA SCAN).

a b c (Å): 3.879 3.879 6.590
angles (deg): 90.00 90.00 90.00
Space group I-4m2 (No. 119)
Symmetry-distinct sites (fractional):
Zn (0.000, 0.000, 0.000)
Zn (0.000, 0.500, 0.250)
Cr (0.000, 0.000, 0.500)
Ni (0.000, 0.500, 0.750)

Summary:
The value obtained for the total energy is -15.427 eV/atom. For the formation energy, the calculation gives -30 meV per atom.

---

Entry from the Alexandria database: ZnCrNi at its PBEsol-relaxed geometry (meta-GGA SCAN).

a b c (Å): 2.5164 2.5164 6.2938
angles (deg): 90.00 90.00 120.00
Space group P3m1 (No. 156)
Symmetry-distinct sites (fractional):
Zn (0.0000, 0.0000, 0.0000)
Cr (0.3333, 0.6667, 0.6443)
Ni (0.6667, 0.3333, 0.3349)

Summary:
The value obtained for the total energy is -15.879 eV/atom. For the formation energy, the calculation gives 145 meV per atom.

---

Entry from the Alexandria database: ZnCrNi6 at its PBEsol-relaxed geometry (meta-GGA SCAN).

a b c (Å): 6.984 9.871 9.889
angles (deg): 90.00 90.00 90.00
Space group Cmmm (No. 65)
Symmetry-distinct sites (fractional):
Zn (0.000, 0.000, 0.250)
Zn (0.000, 0.248, 0.000)
Cr (0.000, 0.252, 0.500)
Cr (0.000, 0.500, 0.244)
Ni (0.000, 0.000, 0.000)
Ni (0.000, 0.000, 0.500)
Ni (0.000, 0.253, 0.256)
Ni (0.000, 0.500, 0.000)
Ni (0.000, 0.500, 0.500)
Ni (0.245, 0.377, 0.128)
Ni (0.246, 0.374, 0.378)

Summary:
The value obtained for the total energy is -16.181 eV/atom. For the formation energy, the calculation gives -64 meV per atom.

---

Entry from the Alexandria database: ZnCrNi at its PBEsol-relaxed geometry (meta-GGA SCAN).

a b c (Å): 5.402 5.402 5.402
angles (deg): 90.00 90.00 90.00
Space group F-43m (No. 216)
Symmetry-distinct sites (fractional):
Zn (0.000, 0.000, 0.000)
Cr (0.000, 0.000, 0.500)
Ni (0.250, 0.250, 0.250)

Summary:
The value obtained for the total energy is -15.629 eV/atom. For the formation energy, the calculation gives 395 meV per atom.

---

Entry from the Alexandria database: ZrCrNi6 at its PBEsol-relaxed geometry (meta-GGA SCAN).

a b c (Å): 7.166 10.195 10.206
angles (deg): 90.00 90.00 90.00
Space group Cmmm (No. 65)
Symmetry-distinct sites (fractional):
Zr (0.000, 0.000, 0.246)
Zr (0.000, 0.247, 0.500)
Cr (0.000, 0.242, 0.000)
Cr (0.000, 0.500, 0.243)
Ni (0.000, 0.000, 0.000)
Ni (0.000, 0.000, 0.500)
Ni (0.000, 0.255, 0.241)
Ni (0.000, 0.500, 0.000)
Ni (0.000, 0.500, 0.500)
Ni (0.242, 0.377, 0.369)
Ni (0.243, 0.373, 0.120)

Summary:
The value obtained for the total energy is -18.464 eV/atom. For the formation energy, the calculation gives -199 meV per atom.

---

Entry from the Alexandria database: ZrCr2Ni at its PBEsol-relaxed geometry (meta-GGA SCAN).

a b c (Å): 2.574 2.574 8.045
angles (deg): 90.00 90.00 90.00
Space group P4/mmm (No. 123)
Symmetry-distinct sites (fractional):
Zr (0.000, 0.000, 0.000)
Cr (0.500, 0.500, 0.288)
Ni (0.000, 0.000, 0.500)

Summary:
The value obtained for the total energy is -20.483 eV/atom. For the formation energy, the calculation gives 427 meV per atom.

---

Entry from the Alexandria database: Cr5O12 at its PBEsol-relaxed geometry (meta-GGA SCAN).

a b c (Å): 12.119 8.807 8.862
angles (deg): 90.00 90.00 90.00
Space group Pbcn (No. 60)
Symmetry-distinct sites (fractional):
Cr (0.000, 0.026, 0.250)
Cr (0.119, 0.250, 0.538)
Cr (0.146, 0.400, 0.880)
O (0.024, 0.327, 0.919)
O (0.061, 0.132, 0.378)
O (0.095, 0.084, 0.672)
O (0.144, 0.413, 0.403)
O (0.177, 0.366, 0.701)
O (0.238, 0.324, 0.996)

Summary:
Its uncorrected formation energy is -195.8 kJ/mol of atoms. The value obtained for the total energy is -11.835 eV/atom.

---

Entry from the Alexandria database: Cr6O11 at its PBEsol-relaxed geometry (meta-GGA SCAN).

a b c (Å): 5.308 6.900 9.330
angles (deg): 89.64 80.99 72.22
Space group P-1 (No. 2)
Symmetry-distinct sites (fractional):
Cr (0.174, 0.305, 0.061)
Cr (0.181, 0.806, 0.060)
Cr (0.229, 0.360, 0.414)
Cr (0.231, 0.859, 0.412)
Cr (0.308, 0.431, 0.759)
Cr (0.314, 0.922, 0.760)
O (0.016, 0.091, 0.112)
O (0.054, 0.423, 0.247)
O (0.098, 0.640, 0.473)
O (0.124, 0.982, 0.604)
O (0.181, 0.206, 0.853)
O (0.216, 0.544, 0.966)
O (0.341, 0.738, 0.219)
O (0.362, 0.080, 0.351)
O (0.409, 0.301, 0.576)
O (0.439, 0.643, 0.699)
O (0.474, 0.832, 0.931)

Summary:
Its uncorrected formation energy is -227.1 kJ/mol of atoms. The value obtained for the total energy is -12.874 eV/atom.

---

Entry from the Alexandria database: CrPOsO2 at its PBEsol-relaxed geometry (meta-GGA SCAN).

a b c (Å): 3.476 3.476 5.375
angles (deg): 90.00 90.00 90.00
Space group P4/mmm (No. 123)
Symmetry-distinct sites (fractional):
Cr (0.000, 0.000, 0.000)
P (0.000, 0.000, 0.500)
Os (0.500, 0.500, 0.500)
O (0.000, 0.500, 0.000)

Summary:
Its uncorrected formation energy is -27.4 kJ/mol of atoms. The value obtained for the total energy is -22.909 eV/atom.

---

Entry from the Alexandria database: Sc2CrOsO at its PBEsol-relaxed geometry (meta-GGA SCAN).

a b c (Å): 4.287 4.287 4.030
angles (deg): 90.00 90.00 90.00
Space group P4/mmm (No. 123)
Symmetry-distinct sites (fractional):
Sc (0.000, 0.500, 0.000)
Cr (0.000, 0.000, 0.500)
Os (0.500, 0.500, 0.500)
O (0.500, 0.500, 0.000)

Summary:
Its uncorrected formation energy is -84.5 kJ/mol of atoms. The value obtained for the total energy is -25.870 eV/atom.

---

Entry from the Alexandria database: Sr2CrOsO6 at its PBEsol-relaxed geometry (meta-GGA SCAN).

a b c (Å): 5.4944 5.4944 13.3452
angles (deg): 90.00 90.00 120.00
Space group R-3 (No. 148, hexagonal axes)
Symmetry-distinct sites (fractional):
Sr (0.0000, 0.0000, 0.2502)
Cr (0.0000, 0.0000, 0.5000)
Os (0.0000, 0.0000, 0.0000)
O (0.0033, 0.5356, 0.2493)

Summary:
Its uncorrected formation energy is -235.1 kJ/mol of atoms. The value obtained for the total energy is -19.657 eV/atom.

---

Entry from the Alexandria database: CrP3O9 at its PBEsol-relaxed geometry (meta-GGA SCAN).

a b c (Å): 6.5238 6.5238 9.5482
angles (deg): 90.00 90.00 120.00
Space group P-6c2 (No. 188)
Symmetry-distinct sites (fractional):
Cr (0.0000, 0.0000, 0.0000)
P (0.3775, 0.1103, 0.2500)
O (0.2493, 0.0046, 0.1158)
O (0.4787, 0.0883, 0.7500)

Summary:
Its uncorrected formation energy is -234.2 kJ/mol of atoms. The value obtained for the total energy is -10.555 eV/atom. Its energy above the most stable polymorph in this dataset is 0.021 eV/atom.

---

Entry from the Alexandria database: CrP2O7 at its PBEsol-relaxed geometry (meta-GGA SCAN).

a b c (Å): 4.751 7.826 6.898
angles (deg): 90.00 105.58 90.00
Space group P2_1 (No. 4)
Symmetry-distinct sites (fractional):
Cr (0.219, 0.000, 0.230)
P (0.236, 0.737, 0.609)
P (0.388, 0.315, 0.003)
O (0.032, 0.184, 0.324)
O (0.140, 0.444, 0.952)
O (0.145, 0.843, 0.419)
O (0.284, 0.132, 0.017)
O (0.417, 0.820, 0.141)
O (0.422, 0.867, 0.776)
O (0.430, 0.582, 0.596)

Summary:
Its uncorrected formation energy is -225.3 kJ/mol of atoms. The value obtained for the total energy is -10.615 eV/atom. Its energy above the most stable polymorph in this dataset is 0.000 eV/atom.

---

Entry from the Alexandria database: CrP2O7 at its PBEsol-relaxed geometry (meta-GGA SCAN).

a b c (Å): 9.365 8.008 12.973
angles (deg): 90.00 110.81 90.00
Space group C2/c (No. 15)
Symmetry-distinct sites (fractional):
Cr (0.151, 0.227, 0.148)
P (0.124, 0.044, 0.927)
P (0.167, 0.408, 0.365)
O (0.012, 0.381, 0.375)
O (0.022, 0.040, 0.148)
O (0.096, 0.191, 0.994)
O (0.180, 0.418, 0.821)
O (0.209, 0.266, 0.302)
O (0.210, 0.099, 0.513)
O (0.224, 0.095, 0.862)

Summary:
Its uncorrected formation energy is -223.6 kJ/mol of atoms. The value obtained for the total energy is -10.597 eV/atom. Its energy above the most stable polymorph in this dataset is 0.018 eV/atom.

---

Entry from the Alexandria database: CrP3O9 at its PBEsol-relaxed geometry (meta-GGA SCAN).

a b c (Å): 13.060 6.442 9.359
angles (deg): 90.00 126.21 90.00
Space group C2/c (No. 15)
Symmetry-distinct sites (fractional):
Cr (0.250, 0.250, 0.000)
P (0.000, 0.043, 0.250)
P (0.116, 0.405, 0.179)
O (0.000, 0.500, 0.000)
O (0.058, 0.188, 0.178)
O (0.103, 0.075, 0.909)
O (0.142, 0.471, 0.833)
O (0.225, 0.368, 0.171)

Summary:
Its uncorrected formation energy is -235.4 kJ/mol of atoms. The value obtained for the total energy is -10.568 eV/atom. Its energy above the most stable polymorph in this dataset is 0.008 eV/atom.